Rb3VO4 after structural relaxation. Source: Alexandria, functional PBE+U.

abc: 8.222 9.173 8.937
angles: 90.00 90.00 90.00
Positions (direct):
O 0.178 0.955 0.588
O 0.678 0.545 0.912
O 0.822 0.045 0.088
O 0.322 0.455 0.412
O 0.822 0.045 0.412
O 0.322 0.455 0.088
O 0.178 0.955 0.912
O 0.678 0.545 0.588
O 0.277 0.208 0.750
O 0.777 0.292 0.750
O 0.723 0.792 0.250
O 0.223 0.708 0.250
O 0.479 0.955 0.750
O 0.979 0.545 0.750
O 0.521 0.045 0.250
O 0.021 0.455 0.250
Rb 0.327 0.509 0.750
Rb 0.827 0.991 0.750
Rb 0.673 0.491 0.250
Rb 0.173 0.009 0.250
Rb 0.463 0.776 0.020
Rb 0.963 0.724 0.480
Rb 0.537 0.224 0.520
Rb 0.037 0.276 0.980
Rb 0.537 0.224 0.980
Rb 0.037 0.276 0.520
Rb 0.463 0.776 0.480
Rb 0.963 0.724 0.020
V 0.277 0.016 0.750
V 0.777 0.484 0.750
V 0.723 0.984 0.250
V 0.223 0.516 0.250

## Properties
The symmetry is Pnma. The calculation puts the total energy at -5.698 eV/atom. Its total magnetization is 0.44 Bohr magnetons per cell.